1.
The following is a DFT calculation (PBEsol) of a geometry-optimized LiSi2Ag structure.

a b c (Å): 5.813 5.813 5.813
angles (deg): 100.19 100.19 130.24
Element x y z (fractional)
Li (0.000, 0.000, 0.000)
Li (0.750, 0.250, 0.500)
Si (0.162, 0.125, 0.537)
Si (0.375, 0.838, 0.963)
Si (0.588, 0.625, 0.463)
Si (0.875, 0.412, 0.037)
Ag (0.250, 0.750, 0.500)
Ag (0.500, 0.500, 0.000)

Energy above the lowest structure with this stoichiometry in meV/atom: 232
Calculated total energy in eV/atom: -3.94
Energy relative to the elements, uncorrected in meV per atom: 252
Calculated volume in A^3/atom: 16.999

---

2.
The following is a DFT calculation (PBEsol) of a geometry-optimized ReOsPt2 structure.

a b c (Å): 4.804 4.804 4.804
angles (deg): 133.12 133.12 68.46
Element x y z (fractional)
Re (0.000, 0.000, 0.000)
Os (0.500, 0.500, 0.000)
Pt (0.250, 0.750, 0.500)
Pt (0.750, 0.250, 0.500)

Energy above the lowest structure with this stoichiometry in meV/atom: 176
Calculated total energy in eV/atom: -9.76
Formation energy in meV per atom: 113
Calculated volume in A^3/atom: 14.498